1.
This record from Alexandria via LeMat-Bulk describes an optimized crystal structure of YIn2Ir. The functional is PBE-GGA.

Summary:
- Energy of formation: -0.317 eV/atom

Lattice parameters (Å, degrees): 4.260 4.260 4.710 90.00 90.00 90.00
Atoms (fractional coordinates):
Y 0.000 0.000 0.000
In 0.000 0.500 0.500
In 0.500 0.000 0.500
Ir 0.500 0.500 0.000

=====

2.
This record from Alexandria via LeMat-Bulk describes an optimized crystal structure of BaScTl2. The functional is PBE-GGA.

Summary:
- Energy of formation: -0.035 eV/atom

Lattice parameters (Å, degrees): 6.790 6.790 6.790 146.95 131.87 59.63
Atoms (fractional coordinates):
Ba 0.000 0.000 0.000
Sc 0.274 0.774 0.500
Tl 0.511 0.511 0.000
Tl 0.735 0.235 0.500